Density functional theory data (GGA-PBE) for crystalline AcPmAu3 at its relaxed geometry.

As for the energy of formation: -829.4 meV/atom. The calculated total energy is -4.568 eV per atom.

The structure belongs to space group Cmcm (No. 63); the cell edges are 3.925, 28.664 and 4.717 Å and the angles 90.00°, 90.00° and 90.00°. Symmetry generates all atoms from Ac at (0.000, 0.074, 0.250), Pm at (0.000, 0.206, 0.750), Au at (0.000, 0.314, 0.750), Au at (0.000, 0.376, 0.250) and Au at (0.000, 0.474, 0.250).

---

Density functional theory data (GGA-PBE) for crystalline TaNiPd5 at its relaxed geometry.

As for the energy of formation: 1.4 meV/atom. The calculated total energy is -6.227 eV per atom.

The structure belongs to space group C2/c (No. 15); the cell edges are 9.043, 5.930 and 9.241 Å and the angles 90.00°, 111.97° and 90.00°. Symmetry generates all atoms from Ta at (0.000, 0.088, 0.250), Ni at (0.250, 0.250, 0.000), Pd at (0.000, 0.334, 0.750), Pd at (0.095, 0.332, 0.482) and Pd at (0.244, 0.412, 0.261).

---

calculated total energy of number 2 (TaNiPd5)? -6.227 eV per atom